The following is a DFT calculation (PBE) of PmDyYHg after structural relaxation.

Summary:
Energy above the lowest structure with this stoichiometry, meV/atom: 207
E_form, meV per atom: -30

Unit cell a=5.4428 b=5.4428 c=5.4428 alpha=60.00 beta=60.00 gamma=60.00
Element x y z (fractional)
Pm  0.0000  0.0000  0.0000
Dy  0.7500  0.7500  0.7500
Y  0.2500  0.2500  0.2500
Hg  0.5000  0.5000  0.5000

---

The following is a DFT calculation (PBE) of PmDyYHg after structural relaxation.

Summary:
Energy above the lowest structure with this stoichiometry, meV/atom: 0
E_form, meV per atom: -237

Unit cell a=3.6421 b=3.6421 c=8.9219 alpha=90.00 beta=90.00 gamma=90.00
Element x y z (fractional)
Pm  0.0000  0.0000  0.0000
Dy  0.5000  0.5000  0.2802
Y  0.5000  0.5000  0.7156
Hg  0.0000  0.0000  0.4967

---

The following is a DFT calculation (PBE) of PmDyZnHg after structural relaxation.

Summary:
Energy above the lowest structure with this stoichiometry, meV/atom: 0
E_form, meV per atom: -407

Unit cell a=3.6503 b=3.6503 c=7.5274 alpha=90.00 beta=90.00 gamma=90.00
Element x y z (fractional)
Pm  0.0000  0.0000  0.0000
Dy  0.0000  0.0000  0.4659
Zn  0.5000  0.5000  0.2452
Hg  0.5000  0.5000  0.7182

---

The following is a DFT calculation (PBE) of PmDyZnHg after structural relaxation.

Summary:
Energy above the lowest structure with this stoichiometry, meV/atom: 26
E_form, meV per atom: -381

Unit cell a=5.2351 b=5.2351 c=5.2351 alpha=60.00 beta=60.00 gamma=60.00
Element x y z (fractional)
Pm  0.0000  0.0000  0.0000
Dy  0.5000  0.5000  0.5000
Zn  0.7500  0.7500  0.7500
Hg  0.2500  0.2500  0.2500

---

The following is a DFT calculation (PBE) of Pr2Dy3Hg2 after structural relaxation.

Summary:
Energy above the lowest structure with this stoichiometry, meV/atom: 0
E_form, meV per atom: -212

Unit cell a=16.2025 b=16.2025 c=3.5959 alpha=90.00 beta=90.00 gamma=167.08
Element x y z (fractional)
Pr  0.2011  0.7989  0.0000
Pr  0.7989  0.2011  0.0000
Dy  0.0755  0.9245  0.0000
Dy  0.5000  0.5000  0.5000
Dy  0.9245  0.0755  0.0000
Hg  0.3659  0.6341  0.5000
Hg  0.6341  0.3659  0.5000

---

The following is a DFT calculation (PBE) of Pr3DyHg4 after structural relaxation.

Summary:
E_form, meV per atom: -472

Unit cell a=3.8092 b=3.8092 c=15.4732 alpha=90.00 beta=90.00 gamma=90.00
Element x y z (fractional)
Pr  0.0000  0.0000  0.0000
Pr  0.0000  0.0000  0.2553
Pr  0.0000  0.0000  0.7447
Dy  0.0000  0.0000  0.5000
Hg  0.5000  0.5000  0.1266
Hg  0.5000  0.5000  0.3874
Hg  0.5000  0.5000  0.6126
Hg  0.5000  0.5000  0.8734

---

The following is a DFT calculation (PBE) of Pr9Dy4Hg11 after structural relaxation.

Summary:
E_form, meV per atom: -386

Unit cell a=14.2249 b=14.2249 c=3.6092 alpha=90.00 beta=90.00 gamma=111.79
Element x y z (fractional)
Pr  0.0000  0.0000  0.0000
Pr  0.1324  0.6429  0.0000
Pr  0.2920  0.4541  0.0000
Pr  0.3571  0.8676  0.0000
Pr  0.4541  0.2920  0.0000
Pr  0.5459  0.7080  0.0000
Pr  0.6429  0.1324  0.0000
Pr  0.7080  0.5459  0.0000
Pr  0.8676  0.3571  0.0000
Dy  0.0536  0.2465  0.0000
Dy  0.2465  0.0536  0.0000
Dy  0.7535  0.9464  0.0000
Dy  0.9464  0.7535  0.0000
Hg  0.0836  0.4378  0.5000
Hg  0.1377  0.8623  0.5000
Hg  0.2231  0.2231  0.5000
Hg  0.3367  0.6633  0.5000
Hg  0.4378  0.0836  0.5000
Hg  0.5000  0.5000  0.5000
Hg  0.5622  0.9164  0.5000
Hg  0.6633  0.3367  0.5000
Hg  0.7769  0.7769  0.5000
Hg  0.8623  0.1377  0.5000
Hg  0.9164  0.5622  0.5000

---

The following is a DFT calculation (PBE) of PrDyHg4 after structural relaxation.

Summary:
Energy above the lowest structure with this stoichiometry, meV/atom: 114
E_form, meV per atom: -240

Unit cell a=6.0037 b=6.0037 c=6.0037 alpha=60.00 beta=60.00 gamma=60.00
Element x y z (fractional)
Pr  0.0000  0.0000  0.0000
Dy  0.7500  0.7500  0.7500
Hg  0.3751  0.3751  0.3751
Hg  0.3751  0.3751  0.8748
Hg  0.3751  0.8748  0.3751
Hg  0.8748  0.3751  0.3751

---

The following is a DFT calculation (PBE) of Pr2DyHg3 after structural relaxation.

Summary:
E_form, meV per atom: -472

Unit cell a=3.7978 b=3.7978 c=11.5740 alpha=90.00 beta=90.00 gamma=90.00
Element x y z (fractional)
Pr  0.0000  0.0000  0.1714
Pr  0.0000  0.0000  0.8286
Dy  0.0000  0.0000  0.5000
Hg  0.5000  0.5000  0.0000
Hg  0.5000  0.5000  0.3488
Hg  0.5000  0.5000  0.6512

---

The following is a DFT calculation (PBE) of Pr4DyHg after structural relaxation.

Summary:
Energy above the lowest structure with this stoichiometry, meV/atom: 92
E_form, meV per atom: -53

Unit cell a=8.4701 b=8.4701 c=6.5476 alpha=100.22 beta=100.22 gamma=115.10
Element x y z (fractional)
Pr  0.0891  0.7111  0.9507
Pr  0.1715  0.3978  0.6248
Pr  0.2889  0.9109  0.5493
Pr  0.3978  0.1715  0.1248
Pr  0.6022  0.8285  0.8752
Pr  0.7111  0.0891  0.4507
Pr  0.8285  0.6022  0.3752
Pr  0.9109  0.2889  0.0493
Dy  0.4079  0.5921  0.2500
Dy  0.5921  0.4079  0.7500
Hg  0.0018  0.9982  0.2500
Hg  0.9982  0.0018  0.7500

---

The following is a DFT calculation (PBE) of PrDy2Hg after structural relaxation.

Summary:
Energy above the lowest structure with this stoichiometry, meV/atom: 0
E_form, meV per atom: -234

Unit cell a=3.6683 b=3.6683 c=8.8758 alpha=90.00 beta=90.00 gamma=90.00
Element x y z (fractional)
Pr  0.0000  0.0000  0.0000
Dy  0.5000  0.5000  0.2854
Dy  0.5000  0.5000  0.7146
Hg  0.0000  0.0000  0.5000

---

The following is a DFT calculation (PBE) of PrDy8Hg6 after structural relaxation.

Summary:
E_form, meV per atom: -238

Unit cell a=8.1886 b=8.1886 c=8.1886 alpha=66.51 beta=66.51 gamma=66.51
Element x y z (fractional)
Pr  0.0000  0.0000  0.0000
Dy  0.1180  0.7858  0.4355
Dy  0.2142  0.5645  0.8820
Dy  0.3306  0.3306  0.3306
Dy  0.4355  0.1180  0.7858
Dy  0.5645  0.8820  0.2142
Dy  0.6694  0.6694  0.6694
Dy  0.7858  0.4355  0.1180
Dy  0.8820  0.2142  0.5645
Hg  0.0591  0.4042  0.7132
Hg  0.2868  0.9409  0.5958
Hg  0.4042  0.7132  0.0591
Hg  0.5958  0.2868  0.9409
Hg  0.7132  0.0591  0.4042
Hg  0.9409  0.5958  0.2868